i:
This record from Alexandria via LeMat-Bulk describes an optimized crystal structure of NaEuF2. The functional is PBE.

```
data_NaEuF2
_symmetry_space_group_name_H-M 'R -3 m'
_symmetry_Int_Tables_number 166
_symmetry_space_group_name_Hall '-R 3 2"'
_cell_length_a 4.0194
_cell_length_b 4.0194
_cell_length_c 19.7355
_cell_angle_alpha 90.00
_cell_angle_beta 90.00
_cell_angle_gamma 120.00
loop_
_atom_site_label
_atom_site_fract_x
_atom_site_fract_y
_atom_site_fract_z
_atom_site_occupancy
Na1 0.0000 0.0000 0.0000 1
Eu1 0.0000 0.0000 0.5000 1
F1 0.0000 0.0000 0.1214 1
```

***

ii:
This record from Alexandria via LeMat-Bulk describes an optimized crystal structure of NaEuF2. The functional is PBE.

```
data_NaEuF2
_symmetry_space_group_name_H-M 'P 4/m m m'
_symmetry_Int_Tables_number 123
_symmetry_space_group_name_Hall '-P 4 2'
_cell_length_a 4.628
_cell_length_b 4.628
_cell_length_c 3.202
_cell_angle_alpha 90.00
_cell_angle_beta 90.00
_cell_angle_gamma 90.00
loop_
_atom_site_label
_atom_site_fract_x
_atom_site_fract_y
_atom_site_fract_z
_atom_site_occupancy
Na1 0.000 0.000 0.000 1
Eu1 0.500 0.500 0.000 1
F1 0.000 0.500 0.500 1
```

***

Energies relative to the most stable structure, in meV per atom: i 0; ii 477.

***

i:
This record from Alexandria via LeMat-Bulk describes an optimized crystal structure of NaEuF. The functional is PBE.

```
data_NaEuF
_symmetry_space_group_name_H-M 'P 3 m 1'
_symmetry_Int_Tables_number 156
_symmetry_space_group_name_Hall 'P 3 -2"'
_cell_length_a 4.0927
_cell_length_b 4.0927
_cell_length_c 6.8222
_cell_angle_alpha 90.00
_cell_angle_beta 90.00
_cell_angle_gamma 120.00
loop_
_atom_site_label
_atom_site_fract_x
_atom_site_fract_y
_atom_site_fract_z
_atom_site_occupancy
Na1 0.0000 0.0000 0.0000 1
Eu1 0.6667 0.3333 0.4760 1
F1 0.3333 0.6667 0.5193 1
```

***

ii:
This record from Alexandria via LeMat-Bulk describes an optimized crystal structure of NaEuF. The functional is PBE.

```
data_NaEuF
_symmetry_space_group_name_H-M 'I 4 m m'
_symmetry_Int_Tables_number 107
_symmetry_space_group_name_Hall 'I 4 -2'
_cell_length_a 3.576
_cell_length_b 3.576
_cell_length_c 14.365
_cell_angle_alpha 90.00
_cell_angle_beta 90.00
_cell_angle_gamma 90.00
loop_
_atom_site_label
_atom_site_fract_x
_atom_site_fract_y
_atom_site_fract_z
_atom_site_occupancy
Na1 0.000 0.000 0.000 1
Eu1 0.000 0.000 0.730 1
F1 0.000 0.000 0.238 1
```

***

Energies relative to the most stable structure, in meV per atom: i 0; ii 91.

***

i:
This record from Alexandria via LeMat-Bulk describes an optimized crystal structure of Eu2PF. The functional is PBE.

```
data_Eu2PF
_symmetry_space_group_name_H-M 'F m -3 m'
_symmetry_Int_Tables_number 225
_symmetry_space_group_name_Hall '-F 4 2 3'
_cell_length_a 7.033
_cell_length_b 7.033
_cell_length_c 7.033
_cell_angle_alpha 90.00
_cell_angle_beta 90.00
_cell_angle_gamma 90.00
loop_
_atom_site_label
_atom_site_fract_x
_atom_site_fract_y
_atom_site_fract_z
_atom_site_occupancy
Eu1 0.250 0.250 0.250 1
P1 0.000 0.000 0.000 1
F1 0.000 0.000 0.500 1
```

***

ii:
This record from Alexandria via LeMat-Bulk describes an optimized crystal structure of Eu2PF. The functional is PBE.

```
data_Eu2PF
_symmetry_space_group_name_H-M 'P 4/m m m'
_symmetry_Int_Tables_number 123
_symmetry_space_group_name_Hall '-P 4 2'
_cell_length_a 4.958
_cell_length_b 4.958
_cell_length_c 3.532
_cell_angle_alpha 90.00
_cell_angle_beta 90.00
_cell_angle_gamma 90.00
loop_
_atom_site_label
_atom_site_fract_x
_atom_site_fract_y
_atom_site_fract_z
_atom_site_occupancy
Eu1 0.000 0.500 0.000 1
P1 0.000 0.000 0.500 1
F1 0.500 0.500 0.500 1
```

***

Energies relative to the most stable structure, in meV per atom: i 0; ii 115.

***

i:
This record from Alexandria via LeMat-Bulk describes an optimized crystal structure of Eu2PtF. The functional is PBE.

```
data_Eu2PtF
_symmetry_space_group_name_H-M 'P 4/m m m'
_symmetry_Int_Tables_number 123
_symmetry_space_group_name_Hall '-P 4 2'
_cell_length_a 3.472
_cell_length_b 3.472
_cell_length_c 7.335
_cell_angle_alpha 90.00
_cell_angle_beta 90.00
_cell_angle_gamma 90.00
loop_
_atom_site_label
_atom_site_fract_x
_atom_site_fract_y
_atom_site_fract_z
_atom_site_occupancy
Eu1 0.000 0.000 0.248 1
Pt1 0.500 0.500 0.000 1
F1 0.500 0.500 0.500 1
```

***

ii:
This record from Alexandria via LeMat-Bulk describes an optimized crystal structure of Eu2PtF. The functional is PBE.

```
data_Eu2PtF
_symmetry_space_group_name_H-M 'R -3 m'
_symmetry_Int_Tables_number 166
_symmetry_space_group_name_Hall '-R 3 2"'
_cell_length_a 4.3658
_cell_length_b 4.3658
_cell_length_c 23.1035
_cell_angle_alpha 90.00
_cell_angle_beta 90.00
_cell_angle_gamma 120.00
loop_
_atom_site_label
_atom_site_fract_x
_atom_site_fract_y
_atom_site_fract_z
_atom_site_occupancy
Eu1 0.0000 0.0000 0.0992 1
Pt1 0.0000 0.0000 0.5000 1
F1 0.0000 0.0000 0.0000 1
```

***

Energies relative to the most stable structure, in meV per atom: i 157; ii 0.

***

i:
This record from Alexandria via LeMat-Bulk describes an optimized crystal structure of Eu2RhF. The functional is PBE.

```
data_Eu2RhF
_symmetry_space_group_name_H-M 'P 4/m m m'
_symmetry_Int_Tables_number 123
_symmetry_space_group_name_Hall '-P 4 2'
_cell_length_a 3.371
_cell_length_b 3.371
_cell_length_c 7.367
_cell_angle_alpha 90.00
_cell_angle_beta 90.00
_cell_angle_gamma 90.00
loop_
_atom_site_label
_atom_site_fract_x
_atom_site_fract_y
_atom_site_fract_z
_atom_site_occupancy
Eu1 0.000 0.000 0.249 1
Rh1 0.500 0.500 0.000 1
F1 0.500 0.500 0.500 1
```

***

ii:
This record from Alexandria via LeMat-Bulk describes an optimized crystal structure of Eu2RhF. The functional is PBE.

```
data_Eu2RhF
_symmetry_space_group_name_H-M 'R -3 m'
_symmetry_Int_Tables_number 166
_symmetry_space_group_name_Hall '-R 3 2"'
_cell_length_a 3.9436
_cell_length_b 3.9436
_cell_length_c 20.4389
_cell_angle_alpha 90.00
_cell_angle_beta 90.00
_cell_angle_gamma 120.00
loop_
_atom_site_label
_atom_site_fract_x
_atom_site_fract_y
_atom_site_fract_z
_atom_site_occupancy
Eu1 0.0000 0.0000 0.2479 1
Rh1 0.0000 0.0000 0.0000 1
F1 0.0000 0.0000 0.5000 1
```

***

Energies relative to the most stable structure, in meV per atom: i 38; ii 0.

***

i:
This record from Alexandria via LeMat-Bulk describes an optimized crystal structure of Eu2SnF. The functional is PBE.

```
data_Eu2SnF
_symmetry_space_group_name_H-M 'R -3 m'
_symmetry_Int_Tables_number 166
_symmetry_space_group_name_Hall '-R 3 2"'
_cell_length_a 3.7354
_cell_length_b 3.7354
_cell_length_c 28.8181
_cell_angle_alpha 90.00
_cell_angle_beta 90.00
_cell_angle_gamma 120.00
loop_
_atom_site_label
_atom_site_fract_x
_atom_site_fract_y
_atom_site_fract_z
_atom_site_occupancy
Eu1 0.0000 0.0000 0.1107 1
Sn1 0.0000 0.0000 0.0000 1
F1 0.0000 0.0000 0.5000 1
```

***

ii:
This record from Alexandria via LeMat-Bulk describes an optimized crystal structure of Eu2SnF. The functional is PBE.

```
data_Eu2SnF
_symmetry_space_group_name_H-M 'P 4/m m m'
_symmetry_Int_Tables_number 123
_symmetry_space_group_name_Hall '-P 4 2'
_cell_length_a 3.505
_cell_length_b 3.505
_cell_length_c 8.083
_cell_angle_alpha 90.00
_cell_angle_beta 90.00
_cell_angle_gamma 90.00
loop_
_atom_site_label
_atom_site_fract_x
_atom_site_fract_y
_atom_site_fract_z
_atom_site_occupancy
Eu1 0.000 0.000 0.227 1
Sn1 0.500 0.500 0.500 1
F1 0.500 0.500 0.000 1
```

***

Energies relative to the most stable structure, in meV per atom: i 250; ii 0.

***

i:
This record from Alexandria via LeMat-Bulk describes an optimized crystal structure of EuTeF. The functional is PBE.

```
data_EuTeF
_symmetry_space_group_name_H-M 'I 4 m m'
_symmetry_Int_Tables_number 107
_symmetry_space_group_name_Hall 'I 4 -2'
_cell_length_a 3.485
_cell_length_b 3.485
_cell_length_c 11.805
_cell_angle_alpha 90.00
_cell_angle_beta 90.00
_cell_angle_gamma 90.00
loop_
_atom_site_label
_atom_site_fract_x
_atom_site_fract_y
_atom_site_fract_z
_atom_site_occupancy
Eu1 0.000 0.000 0.000 1
Te1 0.000 0.000 0.291 1
F1 0.000 0.000 0.556 1
```

***

ii:
This record from Alexandria via LeMat-Bulk describes an optimized crystal structure of EuTeF. The functional is PBE.

```
data_EuTeF
_symmetry_space_group_name_H-M 'P -6 m 2'
_symmetry_Int_Tables_number 187
_symmetry_space_group_name_Hall 'P -6 2'
_cell_length_a 4.1154
_cell_length_b 4.1154
_cell_length_c 4.9983
_cell_angle_alpha 90.00
_cell_angle_beta 90.00
_cell_angle_gamma 120.00
loop_
_atom_site_label
_atom_site_fract_x
_atom_site_fract_y
_atom_site_fract_z
_atom_site_occupancy
Eu1 0.0000 0.0000 0.0000 1
Te1 0.6667 0.3333 0.5000 1
F1 0.3333 0.6667 0.0000 1
```

***

Energies relative to the most stable structure, in meV per atom: i 176; ii 0.